The following is a DFT calculation (PBE+U) of a geometry-optimized V3H6O10 structure.

Cell and atoms, written as POSCAR:
```
V3H6O10
1.0
9.004 0.000 0.000
0.000 6.212 0.200
0.000 0.594 8.989
H O V
12 20 6
direct
0.736 0.676 0.158 H
0.807 0.631 0.807 H
0.264 0.676 0.658 H
0.193 0.631 0.307 H
0.652 0.739 0.913 H
0.713 0.901 0.775 H
0.844 0.897 0.270 H
0.938 0.688 0.251 H
0.287 0.901 0.275 H
0.348 0.739 0.413 H
0.156 0.897 0.770 H
0.062 0.688 0.751 H
0.787 0.522 0.493 O
0.213 0.522 0.993 O
0.666 0.208 0.306 O
0.823 0.137 0.703 O
0.334 0.208 0.806 O
0.177 0.137 0.203 O
0.550 0.235 0.582 O
0.939 0.142 0.412 O
0.061 0.142 0.912 O
0.450 0.235 0.082 O
0.646 0.594 0.107 O
0.909 0.527 0.817 O
0.354 0.594 0.607 O
0.091 0.527 0.317 O
0.756 0.202 0.004 O
0.244 0.202 0.504 O
0.685 0.750 0.808 O
0.862 0.786 0.202 O
0.315 0.750 0.308 O
0.138 0.786 0.702 O
0.755 0.265 0.500 V
0.245 0.265 0.000 V
0.624 0.311 0.128 V
0.892 0.249 0.858 V
0.376 0.311 0.628 V
0.108 0.249 0.358 V
```

Properties
volume: 501.8 Å³ per cell
offset from the most stable computed form: 22 kJ/mol of formula units
SG: Pc, No. 7